(1)
# Zr4GaPbC2

Crystalline Zr4GaPbC2 at its relaxed geometry (GGA-PBE, OQMD via LeMat-Bulk).

Cell: 3.379 3.379 14.556 Å, 90.00 90.00 120.00°
Fractional positions:
C1 0.667 0.333 0.258
C2 0.667 0.333 0.742
Ga1 0.000 0.000 0.500
Pb1 0.333 0.667 0.000
Zr1 0.000 0.000 0.173
Zr2 0.333 0.667 0.344
Zr3 0.333 0.667 0.656
Zr4 0.000 0.000 0.827

Output
Electronic total energy = -8.120 eV per atom
V = 17.99 Å³ per atom
Size of the total moment = 0.007 Bohr magnetons per cell
Symmetry = P-6m2


(2)
# ScTl2AuCl6

Crystalline ScTl2AuCl6 at its relaxed geometry (GGA-PBE, OQMD via LeMat-Bulk).

Cell: 7.186 7.186 7.186 Å, 62.00 62.00 62.00°
Fractional positions:
Au1 0.501 0.501 0.501
Cl1 0.305 0.770 0.171
Cl2 0.830 0.695 0.229
Cl3 0.770 0.171 0.305
Cl4 0.229 0.830 0.695
Cl5 0.171 0.305 0.770
Cl6 0.695 0.229 0.830
Sc1 0.000 0.000 0.000
Tl1 0.251 0.251 0.251
Tl2 0.749 0.749 0.749

Output
Electronic total energy = -3.761 eV per atom
V = 27.41 Å³ per atom
Size of the total moment = 0.001 Bohr magnetons per cell
Symmetry = R3


(3)
# SmRe2Os2

Crystalline SmRe2Os2 at its relaxed geometry (GGA-PBE, OQMD via LeMat-Bulk).

Cell: 4.215 4.215 6.853 Å, 90.09 90.09 59.85°
Fractional positions:
Os1 0.832 0.832 0.289
Os2 0.168 0.168 0.711
Re1 0.165 0.165 0.354
Re2 0.835 0.835 0.646
Sm1 0.500 0.500 0.000

Output
Energy relative to the elements = 0.31 eV per atom
Electronic total energy = -10.096 eV per atom
V = 21.06 Å³ per atom
Size of the total moment = 0.008 Bohr magnetons per cell
Symmetry = C2/m


(4)
# ErSiNO

Crystalline ErSiNO at its relaxed geometry (GGA-PBE, OQMD via LeMat-Bulk).

Cell: 3.169 5.805 5.881 Å, 90.00 90.00 90.00°
Fractional positions:
Er1 0.000 0.445 0.292
Er2 0.000 0.945 0.708
N1 0.000 0.840 0.316
N2 0.000 0.340 0.684
O1 0.500 0.494 0.041
O2 0.500 0.994 0.959
Si1 0.500 0.976 0.245
Si2 0.500 0.476 0.755

Output
Electronic total energy = -7.467 eV per atom
V = 13.52 Å³ per atom
Size of the total moment = 0.002 Bohr magnetons per cell
ΔE to the lowest computed polymorph = 25 meV/atom
Symmetry = Pmc2_1


(5)
# HfBe2

Crystalline HfBe2 at its relaxed geometry (GGA-PBE, OQMD via LeMat-Bulk).

Cell: 3.785 3.785 3.178 Å, 90.00 90.00 120.00°
Fractional positions:
Be1 0.667 0.333 0.500
Be2 0.333 0.667 0.500
Hf1 0.000 0.000 0.000

Output
Electronic total energy = -5.989 eV per atom
V = 13.15 Å³ per atom
Size of the total moment = 0.002 Bohr magnetons per cell
Symmetry = P6/mmm


(6)
# Pr2SeS

Crystalline Pr2SeS at its relaxed geometry (GGA-PBE, OQMD via LeMat-Bulk).

Cell: 4.188 4.188 5.923 Å, 90.00 90.00 90.00°
Fractional positions:
Pr1 0.000 0.000 0.000
Pr2 0.500 0.500 0.500
S1 0.500 0.500 0.000
Se1 0.000 0.000 0.500

Output
Electronic total energy = -6.205 eV per atom
V = 25.97 Å³ per atom
Size of the total moment = 0.009 Bohr magnetons per cell
ΔE to the lowest computed polymorph = 30 meV/atom
Symmetry = P4/mmm